A relaxed La2RhWF crystal. Source: the Alexandria database, functional PBE with a Hubbard U.

Cell: 5.7954 4.6283 5.7954 Å, 90.00 90.00 90.00°
Last column: nearest neighbours and their distance in Å.
Sites, in units of the cell vectors:
F1 0.5000 0.5000 0.5000  8 La 3.71, 4 Rh 4.10
Rh1 0.0000 0.5000 0.0000  2 W 2.31
W1 0.0000 0.0000 0.0000  2 Rh 2.31
La1 0.0000 0.0000 0.5000  2 W 2.90
La2 0.5000 0.0000 0.0000  2 W 2.90

Computed properties:
crystal system: tetragonal
calculated volume: 155.5 Å³ per cell
uncorrected energy: -25.63 eV for the cell shown